No. 1
Compound: ZrTiCuO5
Source: Alexandria
Functional: GGA-PBEsol
Structure: optimized geometry

Cell lengths 3.5973, 6.6602, 14.6331 Å; angles 90.00, 90.00, 90.00 degrees
Atoms (fractional coordinates):
Zr: 0.0886 0.1632 0.4045
Zr: 0.4114 0.8368 0.9045
Zr: 0.5886 0.3368 0.5955
Zr: 0.9114 0.6632 0.0955
Ti: 0.1060 0.6453 0.4261
Ti: 0.3940 0.3547 0.9261
Ti: 0.6060 0.8547 0.5739
Ti: 0.8940 0.1453 0.0739
Cu: 0.0012 0.0965 0.7543
Cu: 0.4988 0.9035 0.2543
Cu: 0.5012 0.4035 0.2457
Cu: 0.9988 0.5965 0.7457
O: 0.0859 0.3418 0.6885
O: 0.0924 0.3825 0.5161
O: 0.1057 0.8548 0.5351
O: 0.1190 0.4410 0.3399
O: 0.1227 0.8663 0.3502
O: 0.3773 0.1337 0.8502
O: 0.3810 0.5590 0.8399
O: 0.3943 0.1452 0.0351
O: 0.4076 0.6175 0.0161
O: 0.4141 0.6582 0.1885
O: 0.5859 0.1582 0.3115
O: 0.5924 0.1175 0.4839
O: 0.6057 0.6452 0.4649
O: 0.6190 0.0590 0.6601
O: 0.6227 0.6337 0.6498
O: 0.8773 0.3663 0.1498
O: 0.8810 0.9410 0.1601
O: 0.8943 0.3548 0.9649
O: 0.9076 0.8825 0.9839
O: 0.9141 0.8418 0.8115

Properties
The value obtained for the density is 5.35 g/cm³. The final energy is -8.5493 eV/atom. The density of states at the Fermi level comes out at 4.89 states/eV/cell.

***

No. 2
Compound: Tl3CuO
Source: Alexandria
Functional: GGA-PBEsol
Structure: optimized geometry

Cell lengths 4.8741, 4.8741, 4.8741 Å; angles 90.00, 90.00, 90.00 degrees
Atoms (fractional coordinates):
Tl: 0.0000 0.0000 0.5000
Tl: 0.0000 0.5000 0.0000
Tl: 0.5000 0.0000 0.0000
Cu: 0.5000 0.5000 0.5000
O: 0.0000 0.0000 0.0000

Properties
The value obtained for the density is 9.93 g/cm³. The final energy is -3.2701 eV/atom. The density of states at the Fermi level comes out at 1.52 states/eV/cell.

***

No. 3
Compound: TlCu2O2
Source: Alexandria
Functional: GGA-PBEsol
Structure: optimized geometry

Cell lengths 6.0147, 6.0147, 6.0147 Å; angles 126.11, 120.19, 84.71 degrees
Atoms (fractional coordinates):
Tl: 0.3496 0.0996 0.2500
Tl: 0.6504 0.9004 0.7500
Cu: 0.0000 0.0000 0.5000
Cu: 0.0000 0.5000 0.0000
Cu: 0.0000 0.5000 0.5000
Cu: 0.5000 0.5000 0.0000
O: 0.1724 0.7028 0.4696
O: 0.2668 0.2972 0.9696
O: 0.7332 0.7028 0.0304
O: 0.8276 0.2972 0.5304

Properties
The value obtained for the density is 8.31 g/cm³. The final energy is -4.8768 eV/atom. The density of states at the Fermi level comes out at 3.15 states/eV/cell.

***

No. 4
Compound: Tl2CuWO
Source: Alexandria
Functional: GGA-PBEsol
Structure: optimized geometry

Cell lengths 5.0051, 5.0051, 3.8187 Å; angles 90.00, 90.00, 90.00 degrees
Atoms (fractional coordinates):
Tl: 0.0000 0.5000 0.0000
Tl: 0.5000 0.0000 0.0000
Cu: 0.0000 0.0000 0.5000
W: 0.5000 0.5000 0.5000
O: 0.5000 0.5000 0.0000

Properties
The value obtained for the density is 11.67 g/cm³. The final energy is -5.2451 eV/atom. The density of states at the Fermi level comes out at 4.14 states/eV/cell.

***

No. 5
Compound: Tm2Cu2O5
Source: Alexandria
Functional: GGA-PBEsol
Structure: optimized geometry

Cell lengths 10.6660, 3.4109, 12.2547 Å; angles 90.00, 90.00, 90.00 degrees
Atoms (fractional coordinates):
Tm: 0.0425 0.2179 0.0000
Tm: 0.2079 0.2166 0.3287
Tm: 0.2921 0.7166 0.8287
Tm: 0.4575 0.7179 0.5000
Tm: 0.5425 0.2821 0.0000
Tm: 0.7079 0.2834 0.3287
Tm: 0.7921 0.7834 0.8287
Tm: 0.9575 0.7821 0.5000
Cu: 0.0106 0.3422 0.7175
Cu: 0.2384 0.1510 0.6120
Cu: 0.2616 0.6510 0.1120
Cu: 0.4894 0.8422 0.2175
Cu: 0.5106 0.1578 0.7175
Cu: 0.7384 0.3490 0.6120
Cu: 0.7616 0.8490 0.1120
Cu: 0.9894 0.6578 0.2175
O: 0.0716 0.2807 0.5658
O: 0.0776 0.7227 0.3575
O: 0.1248 0.3278 0.1645
O: 0.1730 0.7197 0.9723
O: 0.1774 0.2128 0.7643
O: 0.3226 0.7128 0.2643
O: 0.3270 0.2197 0.4723
O: 0.3752 0.8278 0.6645
O: 0.4224 0.2227 0.8575
O: 0.4284 0.7807 0.0658
O: 0.5716 0.2193 0.5658
O: 0.5776 0.7773 0.3575
O: 0.6248 0.1722 0.1645
O: 0.6730 0.7803 0.9723
O: 0.6774 0.2872 0.7643
O: 0.8226 0.7872 0.2643
O: 0.8270 0.2803 0.4723
O: 0.8752 0.6722 0.6645
O: 0.9224 0.2773 0.8575
O: 0.9284 0.7193 0.0658

Properties
The value obtained for the density is 8.12 g/cm³. The final energy is -7.2383 eV/atom.

***

No. 6
Compound: TmCu2O4
Source: Alexandria
Functional: GGA-PBEsol
Structure: optimized geometry

Cell lengths 6.1450, 6.1450, 6.1450 Å; angles 126.39, 126.39, 79.25 degrees
Atoms (fractional coordinates):
Tm: 0.3750 0.1250 0.2500
Tm: 0.6250 0.8750 0.7500
Cu: 0.0000 0.0000 0.5000
Cu: 0.0000 0.5000 0.0000
Cu: 0.0000 0.5000 0.5000
Cu: 0.5000 0.5000 0.0000
O: 0.0306 0.7246 0.8991
O: 0.2246 0.8255 0.6940
O: 0.3255 0.1315 0.6009
O: 0.3685 0.4694 0.1940
O: 0.6315 0.5306 0.8060
O: 0.6745 0.8685 0.3991
O: 0.7754 0.1745 0.3060
O: 0.9694 0.2754 0.1009

Properties
The value obtained for the density is 8.22 g/cm³. The final energy is -6.6785 eV/atom. The density of states at the Fermi level comes out at 5.71 states/eV/cell.